Entry 1:
Density functional theory data (PBE) for crystalline Al2InTe6 at its relaxed geometry.

The value obtained for the uncorrected formation energy is -0.215 eV/atom. The calculation puts the magnetic moment at 0.00 μB per cell. The value obtained for the electronic total energy is -0.2532 Ry/atom.

```
data_Al2InTe6
_symmetry_space_group_name_H-M 'P 1'
_symmetry_Int_Tables_number 1
_cell_length_a 9.6239
_cell_length_b 9.6239
_cell_length_c 7.5724
_cell_angle_alpha 103.96
_cell_angle_beta 103.96
_cell_angle_gamma 99.02
loop_
_symmetry_equiv_pos_as_xyz
'x,y,z'
loop_
_atom_site_label
_atom_site_fract_x
_atom_site_fract_y
_atom_site_fract_z
Al1 0.1405 0.2568 0.3787
Al2 0.2568 0.1405 0.8787
Al3 0.7432 0.8595 0.1213
Al4 0.8595 0.7432 0.6213
In1 0.3000 0.7000 0.7500
In2 0.7000 0.3000 0.2500
Te1 0.0311 0.6112 0.8192
Te2 0.0366 0.2033 0.6533
Te3 0.2033 0.0366 0.1533
Te4 0.3455 0.5011 0.4246
Te5 0.3888 0.9689 0.6808
Te6 0.4989 0.6545 0.0754
Te7 0.5011 0.3455 0.9246
Te8 0.6112 0.0311 0.3192
Te9 0.6545 0.4989 0.5754
Te10 0.7967 0.9634 0.8467
Te11 0.9634 0.7967 0.3467
Te12 0.9689 0.3888 0.1808
```


Entry 2:
Density functional theory data (PBE) for crystalline SrTe2Br at its relaxed geometry.

The value obtained for the uncorrected formation energy is -1.041 eV/atom. The calculation puts the magnetic moment at 0.00 μB per cell. The value obtained for the electronic total energy is -0.2536 Ry/atom.

```
data_SrTe2Br
_symmetry_space_group_name_H-M 'P 1'
_symmetry_Int_Tables_number 1
_cell_length_a 5.0310
_cell_length_b 6.2053
_cell_length_c 5.2175
_cell_angle_alpha 90.00
_cell_angle_beta 106.01
_cell_angle_gamma 90.00
loop_
_symmetry_equiv_pos_as_xyz
'x,y,z'
loop_
_atom_site_label
_atom_site_fract_x
_atom_site_fract_y
_atom_site_fract_z
Sr1 0.0000 0.0000 0.0000
Te1 0.2111 0.5000 0.8576
Te2 0.7889 0.5000 0.1424
Br1 0.5000 0.0000 0.5000
```


Entry 3:
Density functional theory data (PBE) for crystalline BeReW2 at its relaxed geometry.

The calculation puts the magnetic moment at 0.00 μB per cell. The value obtained for the electronic total energy is -0.7579 Ry/atom. The energy relative to the elements comes out at 0.209 eV/atom.

```
data_BeReW2
_symmetry_space_group_name_H-M 'P 1'
_symmetry_Int_Tables_number 1
_cell_length_a 5.2925
_cell_length_b 8.5651
_cell_length_c 2.7073
_cell_angle_alpha 90.00
_cell_angle_beta 108.14
_cell_angle_gamma 90.00
loop_
_symmetry_equiv_pos_as_xyz
'x,y,z'
loop_
_atom_site_label
_atom_site_fract_x
_atom_site_fract_y
_atom_site_fract_z
Be1 0.0000 0.0000 0.0000
Be2 0.5000 0.5000 0.0000
Re1 0.0000 0.5000 0.0000
Re2 0.5000 0.0000 0.0000
W1 0.2500 0.2500 0.5000
W2 0.2500 0.7500 0.5000
W3 0.7500 0.2500 0.5000
W4 0.7500 0.7500 0.5000
```


Entry 4:
Density functional theory data (PBE) for crystalline Sc2TaCr at its relaxed geometry.

The calculation puts the magnetic moment at 2.31 μB per cell. The value obtained for the electronic total energy is -0.6026 Ry/atom. The energy relative to the elements comes out at 0.336 eV/atom.

```
data_Sc2TaCr
_symmetry_space_group_name_H-M 'P 1'
_symmetry_Int_Tables_number 1
_cell_length_a 3.0088
_cell_length_b 4.5856
_cell_length_c 5.7324
_cell_angle_alpha 90.00
_cell_angle_beta 103.92
_cell_angle_gamma 90.00
loop_
_symmetry_equiv_pos_as_xyz
'x,y,z'
loop_
_atom_site_label
_atom_site_fract_x
_atom_site_fract_y
_atom_site_fract_z
Sc1 0.0841 0.0000 0.2556
Sc2 0.9159 0.0000 0.7444
Ta1 0.5000 0.5000 0.0000
Cr1 0.5000 0.5000 0.5000
```


Entry 5:
Density functional theory data (PBE) for crystalline SiMoAs at its relaxed geometry.

The value obtained for the uncorrected formation energy is -0.273 eV/atom. The calculation puts the magnetic moment at 0.00 μB per cell. The value obtained for the electronic total energy is -0.5322 Ry/atom.

```
data_SiMoAs
_symmetry_space_group_name_H-M 'P 1'
_symmetry_Int_Tables_number 1
_cell_length_a 3.4666
_cell_length_b 3.4666
_cell_length_c 7.7871
_cell_angle_alpha 90.00
_cell_angle_beta 90.00
_cell_angle_gamma 90.00
loop_
_symmetry_equiv_pos_as_xyz
'x,y,z'
loop_
_atom_site_label
_atom_site_fract_x
_atom_site_fract_y
_atom_site_fract_z
Si1 0.2500 0.7500 0.0000
Si2 0.7500 0.2500 0.0000
Mo1 0.2500 0.2500 0.2432
Mo2 0.7500 0.7500 0.7568
As1 0.2500 0.2500 0.6139
As2 0.7500 0.7500 0.3861
```


Entry 6:
Density functional theory data (PBE) for crystalline Mn2CoTcN at its relaxed geometry.

The value obtained for the uncorrected formation energy is 0.053 eV/atom. The calculation puts the magnetic moment at 2.92 μB per cell. The value obtained for the electronic total energy is -0.6449 Ry/atom.

```
data_Mn2CoTcN
_symmetry_space_group_name_H-M 'P 1'
_symmetry_Int_Tables_number 1
_cell_length_a 3.7760
_cell_length_b 3.7760
_cell_length_c 3.7717
_cell_angle_alpha 90.00
_cell_angle_beta 90.00
_cell_angle_gamma 90.00
loop_
_symmetry_equiv_pos_as_xyz
'x,y,z'
loop_
_atom_site_label
_atom_site_fract_x
_atom_site_fract_y
_atom_site_fract_z
Mn1 0.0000 0.5000 0.0000
Mn2 0.5000 0.0000 0.0000
Co1 0.0000 0.0000 0.5000
Tc1 0.5000 0.5000 0.5000
N1 0.0000 0.0000 0.0000
```


Entry 7:
Density functional theory data (PBE) for crystalline La3InCo at its relaxed geometry.

The calculation puts the magnetic moment at 0.01 μB per cell. The value obtained for the electronic total energy is -0.3717 Ry/atom. The energy relative to the elements comes out at -0.132 eV/atom.

```
data_La3InCo
_symmetry_space_group_name_H-M 'P 1'
_symmetry_Int_Tables_number 1
_cell_length_a 6.1422
_cell_length_b 10.8950
_cell_length_c 8.4639
_cell_angle_alpha 90.00
_cell_angle_beta 90.00
_cell_angle_gamma 90.00
loop_
_symmetry_equiv_pos_as_xyz
'x,y,z'
loop_
_atom_site_label
_atom_site_fract_x
_atom_site_fract_y
_atom_site_fract_z
La1 0.0172 0.1070 0.1447
La2 0.0172 0.3930 0.1447
La3 0.1930 0.2500 0.6963
La4 0.3070 0.7500 0.1963
La5 0.4828 0.6070 0.6447
La6 0.4828 0.8930 0.6447
La7 0.5172 0.1070 0.3553
La8 0.5172 0.3930 0.3553
La9 0.6930 0.2500 0.8037
La10 0.8070 0.7500 0.3037
La11 0.9828 0.6070 0.8553
La12 0.9828 0.8930 0.8553
In1 0.0000 0.0000 0.5000
In2 0.0000 0.5000 0.5000
In3 0.5000 0.0000 0.0000
In4 0.5000 0.5000 0.0000
Co1 0.0384 0.2500 0.4121
Co2 0.4616 0.7500 0.9121
Co3 0.5384 0.2500 0.0879
Co4 0.9616 0.7500 0.5879
```


Question: What is the formula in the first record?
Answer: Al2InTe6